First-principles (PBE) data for a relaxed structure of Pm2MnAl3Pt4, as listed in the Alexandria database.

Lattice parameters (Å, degrees): 4.275 4.275 10.445 90.00 90.00 90.00
Space group P-4m2 (No. 115)
Inequivalent atoms, fractional coordinates:
Pm 0.000 0.500 0.249 x2
Mn 0.000 0.000 0.500 x1
Al 0.000 0.500 0.874 x2
Al 0.500 0.500 0.500 x1
Pt 0.000 0.000 0.000 x1
Pt 0.000 0.500 0.638 x2
Pt 0.500 0.500 0.000 x1

Formation energy = -0.98 eV per atom